Entry from the Alexandria database: SiTc2Rh after structural relaxation (GGA-PBE).

The calculated total energy comes out at -34.57 eV/f.u. As for the density: 9.89 Mg/m³.

The space group is P4/mmm (No. 123) and the conventional cell measures 2.8706, 2.8706 and 6.6646 Å, with angles of 90.00, 90.00 and 90.00 degrees. Symmetry generates all atoms from Si at (0.0000, 0.0000, 0.0000), Tc at (0.5000, 0.5000, 0.2224) and Rh at (0.0000, 0.0000, 0.5000).